# 1
Density functional theory data (PBE-GGA) for a relaxed Pm7Y12In crystal.

Lattice parameters (Å, degrees): 8.752 8.752 8.752 87.09 87.09 87.09
Fractional positions:
Pm  0.856  0.610  0.918
Pm  0.390  0.082  0.144
Pm  0.082  0.144  0.390
Pm  0.500  0.500  0.500
Pm  0.918  0.856  0.610
Pm  0.610  0.918  0.856
Pm  0.144  0.390  0.082
Y  0.865  0.247  0.745
Y  0.753  0.255  0.135
Y  0.608  0.142  0.504
Y  0.858  0.496  0.392
Y  0.255  0.135  0.753
Y  0.496  0.392  0.858
Y  0.504  0.608  0.142
Y  0.745  0.865  0.247
Y  0.142  0.504  0.608
Y  0.392  0.858  0.496
Y  0.247  0.745  0.865
Y  0.135  0.753  0.255
In  0.000  0.000  0.000

Calculated values
DFT formation energy in kcal/mol of atoms: 3.454
Electronic total energy in eV/atom: -5.528
Crystal system: trigonal



# 2
Density functional theory data (PBE-GGA) for a relaxed Pm3Y2In2 crystal.

Lattice parameters (Å, degrees): 4.656 6.091 7.915 95.54 90.00 112.47
Fractional positions:
Pm  0.267  0.533  0.846
Pm  0.000  0.000  0.000
Pm  0.733  0.467  0.154
Y  0.135  0.271  0.428
Y  0.865  0.729  0.572
In  0.569  0.138  0.708
In  0.431  0.862  0.292

Calculated values
Energy above the lowest structure with this stoichiometry in meV per atom: 0
DFT formation energy in kcal/mol of atoms: -5.989
Electronic total energy in eV/atom: -4.925
Crystal system: monoclinic



# 3
Density functional theory data (PBE-GGA) for a relaxed PmY4In crystal.

Lattice parameters (Å, degrees): 8.710 8.710 8.710 99.04 99.04 133.30
Fractional positions:
Pm  0.803  0.803  0.000
Pm  0.553  0.053  0.500
Y  0.226  0.966  0.740
Y  0.728  0.465  0.737
Y  0.716  0.476  0.240
Y  0.215  0.978  0.237
Y  0.236  0.476  0.760
Y  0.741  0.978  0.763
Y  0.728  0.991  0.263
Y  0.226  0.486  0.260
In  0.289  0.289  0.000
In  0.039  0.539  0.500

Calculated values
Energy above the lowest structure with this stoichiometry in meV per atom: 378
DFT formation energy in kcal/mol of atoms: 9.961
Electronic total energy in eV/atom: -5.126
Crystal system: tetragonal



What is the electronic total energy in the first record? -5.528 eV/atom